(1)
A plane-wave DFT calculation with PBEsol was carried out for a relaxed K2CuTc crystal.

Lattice parameters (Å, degrees): 2.8469 2.8469 11.2851 82.75 82.75 60.00
Element x y z (fractional)
1 Tc 0.5000 0.5000 0.5000
2 K 0.7488 0.7488 0.7535
3 K 0.2512 0.2512 0.2465
4 Cu 0.0000 0.0000 0.0000

Calculated values
As for the total energy: -3.2505 eV per atom. As for the space group: R-3m.


(2)
A plane-wave DFT calculation with PBEsol was carried out for a relaxed SrTaFe2 crystal.

Lattice parameters (Å, degrees): 3.2314 3.2314 7.0629 90.00 90.00 90.00
Last column: magnetic moment on the atom in μB.
Element x y z (fractional)
1 Fe 0.0000 0.0000 0.1677  1.81
2 Fe 0.0000 0.0000 0.8323  1.81
3 Ta 0.5000 0.5000 0.0000  -0.32
4 Sr 0.5000 0.5000 0.5000  -0.04

Calculated values
As for the total energy: -7.7224 eV per atom. As for the space group: P4/mmm.


(3)
A plane-wave DFT calculation with PBEsol was carried out for a relaxed BeHgW2 crystal.

Lattice parameters (Å, degrees): 2.8045 2.8045 9.1522 81.19 81.19 60.00
Element x y z (fractional)
1 W 0.2416 0.2416 0.2751
2 W 0.7584 0.7584 0.7249
3 Hg 0.0000 0.0000 0.0000
4 Be 0.5000 0.5000 0.5000

Calculated values
The value obtained for the energy above the most stable polymorph in this dataset is 161.9 meV per atom. As for the space group: R-3m.


(4)
A plane-wave DFT calculation with PBEsol was carried out for a relaxed BaSbPt2 crystal.

Lattice parameters (Å, degrees): 3.5592 5.0167 5.0167 90.00 90.00 90.00
Element x y z (fractional)
1 Sb 0.5000 0.5000 0.5000
2 Pt 0.0000 0.5000 0.0000
3 Pt 0.0000 0.0000 0.5000
4 Ba 0.5000 0.0000 0.0000

Calculated values
The value obtained for the energy relative to the elements, uncorrected is -0.202 eV per atom. As for the space group: P4/mmm.


(5)
A plane-wave DFT calculation with PBEsol was carried out for a relaxed CdNi3H crystal.

Lattice parameters (Å, degrees): 3.7072 3.7072 3.7072 90.00 90.00 90.00
Last column: magnetic moment on the atom in μB.
Element x y z (fractional)
1 Ni 0.5000 0.0000 0.0000  0.16
2 Ni 0.0000 0.0000 0.5000  0.16
3 Ni 0.0000 0.5000 0.0000  0.16
4 H 0.0000 0.0000 0.0000  0.00
5 Cd 0.5000 0.5000 0.5000  -0.01

Calculated values
As for the total energy: -4.6232 eV per atom. As for the space group: Pm-3m.


(6)
A plane-wave DFT calculation with PBEsol was carried out for a relaxed KLi3Mg crystal.

Lattice parameters (Å, degrees): 5.5423 5.5423 5.5423 90.00 90.00 90.00
Element x y z (fractional)
1 K 0.5000 0.5000 0.5000
2 Li 0.0000 0.5000 0.0000
3 Li 0.5000 0.0000 0.0000
4 Li 0.0000 0.0000 0.5000
5 Mg 0.0000 0.0000 0.0000

Calculated values
As for the total energy: -1.5101 eV per atom. As for the space group: Pm-3m.


(7)
A plane-wave DFT calculation with PBEsol was carried out for a relaxed KGaCu2Re crystal.

Lattice parameters (Å, degrees): 4.6192 4.6192 4.7507 90.00 90.00 90.00
Last column: magnetic moment on the atom in μB.
Element x y z (fractional)
1 Cu 0.5000 0.0000 0.0000  0.00
2 Cu 0.0000 0.5000 0.0000  0.00
3 K 0.5000 0.5000 0.5000  0.02
4 Ga 0.0000 0.0000 0.0000  -0.03
5 Re 0.0000 0.0000 0.5000  1.56

Calculated values
As for the total energy: -4.0999 eV per atom. As for the space group: P4/mmm.


(8)
A plane-wave DFT calculation with PBEsol was carried out for a relaxed RbBa3 crystal.

Lattice parameters (Å, degrees): 7.1170 7.1170 7.1170 60.00 60.00 60.00
Element x y z (fractional)
1 Ba 0.2500 0.2500 0.2500
2 Ba 0.5000 0.5000 0.5000
3 Ba 0.7500 0.7500 0.7500
4 Rb 0.0000 0.0000 0.0000

Calculated values
The value obtained for the energy above the most stable polymorph in this dataset is 11.2 meV per atom. As for the space group: Fm-3m.